DFT (GGA+U) results for a geometry-optimized HfNpMn2O8 structure.

Electronic total energy ... -8.8640 eV per atom

Lattice parameters (Å, degrees): 6.7024 7.1490 6.3545 90.00 90.00 90.00
Space group Cmmm (No. 65)
Unique sites:
Hf  0.0000  0.0000  0.0000 [2 per cell]
Np  0.0000  0.0000  0.5000 [2 per cell]
Mn  0.0000  0.5000  0.2439 [4 per cell]
O  0.0000  0.1841  0.2538 [8 per cell]
O  0.1860  0.5000  0.5000 [4 per cell]
O  0.1879  0.5000  0.0000 [4 per cell]